# ZrSc2BiPt PBE optimized geometry
data_ZrSc2BiPt
_cell_length_a 5.349
_cell_length_b 5.349
_cell_length_c 5.079
_cell_angle_alpha 90.00
_cell_angle_beta 90.00
_cell_angle_gamma 90.00
_symmetry_space_group_name_H-M 'P 4/m m m'
_symmetry_Int_Tables_number 123
_symmetry_space_group_name_Hall '-P 4 2'
loop_
_atom_site_label
_atom_site_type_symbol
_atom_site_fract_x
_atom_site_fract_y
_atom_site_fract_z
Zr1 Zr 0.000 0.000 0.000
Sc1 Sc 0.000 0.500 0.500
Bi1 Bi 0.500 0.500 0.500
Pt1 Pt 0.500 0.500 0.000
# Formation energy from the elements in eV/atom: 0.6937
# Uncorrected energy in eV per atom: -5.533